A relaxed TaNb2NiGe crystal, computed with PBE. Values from VASP.

Geometry as Quantum ESPRESSO input:
```
&SYSTEM
  ibrav = 0, nat = 5, ntyp = 4
/
ATOMIC_SPECIES
Ni 58.69 Ni.upf
Nb 92.91 Nb.upf
Ge 72.64 Ge.upf
Ta 180.95 Ta.upf
CELL_PARAMETERS angstrom
4.705 0.000 0.000
0.000 4.716 0.000
0.000 0.000 4.705
ATOMIC_POSITIONS angstrom
Ni 2.353 2.358 2.353
Nb 0.000 0.000 2.353
Nb 2.353 0.000 0.000
Ge 0.000 0.000 0.000
Ta 0.000 2.358 0.000
```

Final energy = -36.41 eV/cell
DOS(E_F) = 4.399 states/eV per cell
Space group = P4/mmm (123)
Spin magnetization = 0.150 μB per atom